The following is a DFT calculation (GGA-PBE) of a relaxed CuTcB2P crystal.

Cell: 3.9318 4.9859 3.9318 Å, 90.00 90.00 90.00°
Sites, in units of the cell vectors:
P: 0.5000 0.5000 0.5000
Tc: 0.0000 0.0000 0.0000
B: 0.0000 0.0000 0.5000
B: 0.5000 0.0000 0.0000
Cu: 0.0000 0.5000 0.0000

## Properties
- Fermi-level density of states: 0.61 states/eV/atom
- Symmetry: P4/mmm (123)
- ΔH_f (0 K): 1.461 eV/atom

The following is a DFT calculation (GGA-PBE) of a relaxed ZnCuB2P crystal.

Cell: 3.7284 5.1614 3.7284 Å, 90.00 90.00 90.00°
Sites, in units of the cell vectors:
P: 0.0000 0.0000 0.0000
B: 0.5000 0.0000 0.0000
B: 0.0000 0.0000 0.5000
Zn: 0.0000 0.5000 0.0000
Cu: 0.5000 0.5000 0.5000

## Properties
- Fermi-level density of states: 0.38 states/eV/atom
- Symmetry: P4/mmm (123)
- ΔH_f (0 K): 1.229 eV/atom

The following is a DFT calculation (GGA-PBE) of a relaxed PaCuB crystal.

Cell: 3.1108 3.4336 8.6462 Å, 78.55 90.00 90.00°
Sites, in units of the cell vectors:
Pa: 0.2500 0.0993 0.8015
Pa: 0.7500 0.9007 0.1985
B: 0.2500 0.4803 0.0394
B: 0.7500 0.5197 0.9606
Cu: 0.7500 0.7185 0.5631
Cu: 0.2500 0.2815 0.4369

## Properties
- Fermi-level density of states: 0.96 states/eV/atom
- Symmetry: Cmcm (63)
- ΔH_f (0 K): -0.256 eV/atom

The following is a DFT calculation (GGA-PBE) of a relaxed Pa2CuB2Ru5 crystal.

Cell: 3.2323 9.4490 9.4490 Å, 90.00 90.00 90.00°
Sites, in units of the cell vectors:
Ru: 0.5000 0.0000 0.5000
Ru: 0.5000 0.2818 0.5719
Ru: 0.5000 0.9281 0.2182
Ru: 0.5000 0.7818 0.9281
Ru: 0.5000 0.4281 0.2818
Ru: 0.5000 0.2182 0.0719
Ru: 0.5000 0.7182 0.4281
Ru: 0.5000 0.5719 0.7182
Ru: 0.5000 0.5000 0.0000
Ru: 0.5000 0.0719 0.7818
Cu: 0.0000 0.0000 0.0000
Cu: 0.0000 0.5000 0.5000
B: 0.0000 0.3775 0.1225
B: 0.0000 0.8775 0.3775
B: 0.0000 0.6225 0.8775
B: 0.0000 0.1225 0.6225
Pa: 0.0000 0.8224 0.6776
Pa: 0.0000 0.1776 0.3224
Pa: 0.0000 0.3224 0.8224
Pa: 0.0000 0.6776 0.1776

## Properties
- Fermi-level density of states: 0.79 states/eV/atom
- Symmetry: P4/mbm (127)
- ΔH_f (0 K): -0.464 eV/atom

The following is a DFT calculation (GGA-PBE) of a relaxed CuBPb crystal.

Cell: 6.1548 3.1808 10.9430 Å, 90.00 90.00 90.00°
Sites, in units of the cell vectors:
B: 0.0000 0.0000 0.0000
B: 0.0000 0.5000 0.0000
B: 0.5000 0.0000 0.5000
B: 0.5000 0.5000 0.5000
Pb: 0.1500 0.7500 0.7077
Pb: 0.6500 0.7500 0.7923
Pb: 0.8500 0.2500 0.2923
Pb: 0.3500 0.2500 0.2077
Cu: 0.1707 0.2500 0.4836
Cu: 0.6707 0.2500 0.0164
Cu: 0.8293 0.7500 0.5164
Cu: 0.3293 0.7500 0.9836

## Properties
- Fermi-level density of states: 0.34 states/eV/atom
- Symmetry: Pnma (62)
- ΔH_f (0 K): 0.385 eV/atom

The following is a DFT calculation (GGA-PBE) of a relaxed CuBPb crystal.

Cell: 4.2909 4.2909 4.2909 Å, 60.00 60.00 60.00°
Sites, in units of the cell vectors:
Cu: 0.7500 0.7500 0.7500
Pb: 0.5000 0.5000 0.5000
B: 0.2500 0.2500 0.2500

## Properties
- Fermi-level density of states: 0.29 states/eV/atom
- Symmetry: F-43m (216)
- ΔH_f (0 K): 1.308 eV/atom

The following is a DFT calculation (GGA-PBE) of a relaxed CuBPb crystal.

Cell: 3.1307 3.1307 10.1852 Å, 90.00 90.00 90.00°
Sites, in units of the cell vectors:
B: 0.5000 0.5000 0.5000
B: 0.0000 0.0000 0.5000
Pb: 0.0000 0.5000 0.1589
Pb: 0.5000 0.0000 0.8411
Cu: 0.5000 0.0000 0.3612
Cu: 0.0000 0.5000 0.6388

## Properties
- Fermi-level density of states: 0.34 states/eV/atom
- Symmetry: P4/nmm (129)
- ΔH_f (0 K): 0.545 eV/atom

The following is a DFT calculation (GGA-PBE) of a relaxed CuBPb crystal.

Cell: 4.1073 4.1073 4.1073 Å, 60.00 60.00 60.00°
Sites, in units of the cell vectors:
B: 0.0000 0.0000 0.0000
Pb: 0.2500 0.2500 0.2500
Cu: 0.7500 0.7500 0.7500

## Properties
- Fermi-level density of states: 0.23 states/eV/atom
- Symmetry: F-43m (216)
- ΔH_f (0 K): 0.893 eV/atom

> Among the records above, which one has the highest Fermi-level density of states?

PaCuB

> ΔH_f (0 K) of number 4 (Pa2CuB2Ru5)?

-0.464 eV/atom

> Look up the ΔH_f (0 K) of the second one.

1.229 eV/atom